# In8Sn3Pb3

A relaxed In8Sn3Pb3 crystal (PBE-GGA, Alexandria).

Geometry as extended XYZ:
```
14
Lattice="4.665 0.000 1.170 2.305 9.187 0.696 0.100 -0.377 9.490" Properties=species:S:1:pos:R:3 pbc="T T T"
In 3.268 0.414 6.742
In 1.762 4.361 2.861
In 2.580 3.096 9.487
In 5.827 6.700 6.425
In 3.802 8.396 4.614
In 5.308 4.450 8.494
In 1.243 2.110 4.930
In 4.490 5.715 1.869
Sn 0.467 1.214 8.026
Sn 1.938 7.596 2.160
Sn 2.333 0.000 0.585
Pb 4.210 1.775 2.986
Pb 3.535 4.405 5.678
Pb 2.860 7.036 8.370
```

Calculated values
V = 28.99 Å³/atom
DFT formation energy = 54 meV/atom
symmetry = No. 71